Record 1
A plane-wave DFT calculation with GGA-PBE was carried out for crystalline Al2TlPd7 at its relaxed geometry.

Summary:
The calculation puts the calculated formation energy at -0.4882 eV per atom. The space group is I4/mmm (139).

Lattice parameters (Å, degrees): 10.2639 10.2639 10.2639 156.82 156.82 33.01
Closest atoms and distances in Å follow each position.
Element x y z (fractional)
Al 0.1758 0.1758 0.0000  8 Pd 2.51-2.53
Al 0.8242 0.8242 0.0000  8 Pd 2.51-2.53
Tl 0.5000 0.5000 0.0000  12 Pd 2.89-2.92
Pd 0.0000 0.0000 0.0000  8 Pd 2.89, 4 Tl 2.92
Pd 0.1032 0.6032 0.5000  2 Al 2.51
Pd 0.2500 0.7500 0.5000  4 Al 2.53
Pd 0.3968 0.8968 0.5000  2 Al 2.51
Pd 0.6032 0.1032 0.5000  2 Al 2.51
Pd 0.7500 0.2500 0.5000  4 Al 2.53
Pd 0.8968 0.3968 0.5000  2 Al 2.51

=====

Record 2
A plane-wave DFT calculation with GGA-PBE was carried out for crystalline RbH3Se at its relaxed geometry.

Summary:
For the total energy, the calculation gives -2.720 eV per atom. The space group is Pm-3m (221).

Lattice parameters (Å, degrees): 4.1435 4.1435 4.1435 90.00 90.00 90.00
Closest atoms and distances in Å follow each position.
Element x y z (fractional)
Rb 0.0000 0.0000 0.0000  12 H 2.93
H 0.0000 0.5000 0.5000  2 Se 2.07
H 0.5000 0.0000 0.5000  2 Se 2.07
H 0.5000 0.5000 0.0000  2 Se 2.07
Se 0.5000 0.5000 0.5000  6 H 2.07

=====

Record 3
A plane-wave DFT calculation with GGA-PBE was carried out for crystalline CaBPRh3 at its relaxed geometry.

Summary:
The calculation puts the calculated formation energy at -0.6336 eV per atom. The space group is Cmcm (63).

Lattice parameters (Å, degrees): 6.5998 6.5998 5.7050 90.00 90.00 128.82
Closest atoms and distances in Å follow each position.
Element x y z (fractional)
Ca 0.2480 0.7520 0.7500  4 Rh 2.90-2.92
Ca 0.7520 0.2480 0.2500  4 Rh 2.90-2.92
B 0.4705 0.5295 0.2500  5 Rh 2.05-2.06
B 0.5295 0.4705 0.7500  5 Rh 2.05-2.06
P 0.1118 0.8882 0.2500  5 Rh 2.22-2.40
P 0.8882 0.1118 0.7500  5 Rh 2.22-2.40
Rh 0.2455 0.2455 0.0000  2 B 2.06
Rh 0.2455 0.2455 0.5000  2 B 2.06
Rh 0.2984 0.7016 0.2500  1 B 2.05, 1 P 2.22
Rh 0.7016 0.2984 0.7500  1 B 2.05, 1 P 2.22
Rh 0.7545 0.7545 0.0000  2 B 2.06
Rh 0.7545 0.7545 0.5000  2 B 2.06

=====

Record 4
A plane-wave DFT calculation with GGA-PBE was carried out for crystalline MgGaTc at its relaxed geometry.

Summary:
The calculation puts the calculated formation energy at 0.0178 eV per atom. The space group is P3m1 (156).

Lattice parameters (Å, degrees): 4.4466 4.4466 2.7731 90.00 90.00 120.00
Closest atoms and distances in Å follow each position.
Element x y z (fractional)
Mg 0.0000 0.0000 0.0000  3 Ga 2.74, 2 Mg 2.77, 6 Tc 2.84-3.00
Ga 0.3333 0.6667 0.6556  3 Tc 2.64, 3 Mg 2.74, 2 Ga 2.77
Tc 0.6667 0.3333 0.4409  3 Ga 2.64, 2 Tc 2.77, 3 Mg 2.84

=====

Please write out number 3 again, unchanged.
A plane-wave DFT calculation with GGA-PBE was carried out for crystalline CaBPRh3 at its relaxed geometry.

Summary:
The calculation puts the calculated formation energy at -0.6336 eV per atom. The space group is Cmcm (63).

Lattice parameters (Å, degrees): 6.5998 6.5998 5.7050 90.00 90.00 128.82
Closest atoms and distances in Å follow each position.
Element x y z (fractional)
Ca 0.2480 0.7520 0.7500  4 Rh 2.90-2.92
Ca 0.7520 0.2480 0.2500  4 Rh 2.90-2.92
B 0.4705 0.5295 0.2500  5 Rh 2.05-2.06
B 0.5295 0.4705 0.7500  5 Rh 2.05-2.06
P 0.1118 0.8882 0.2500  5 Rh 2.22-2.40
P 0.8882 0.1118 0.7500  5 Rh 2.22-2.40
Rh 0.2455 0.2455 0.0000  2 B 2.06
Rh 0.2455 0.2455 0.5000  2 B 2.06
Rh 0.2984 0.7016 0.2500  1 B 2.05, 1 P 2.22
Rh 0.7016 0.2984 0.7500  1 B 2.05, 1 P 2.22
Rh 0.7545 0.7545 0.0000  2 B 2.06
Rh 0.7545 0.7545 0.5000  2 B 2.06